(1)
A relaxed Th2Ga4HgAu3 crystal. Source: Alexandria, functional PBE-GGA.

## Properties
The value obtained for the uncorrected energy is -4.22 eV per atom. The formation energy comes out at -0.513 eV/atom. As for the space-group type: P-4m2. Its density of states at the Fermi level is 4.41 states/eV/f.u. The calculated density comes out at 12121 kg/m3.

a b c (Å): 4.403 4.403 10.843
angles (deg): 90.00 90.00 90.00
Sites, in units of the cell vectors:
Th1 0.000 0.500 0.247
Th2 0.500 0.000 0.753
Ga1 0.000 0.000 0.000
Ga2 0.000 0.500 0.641
Ga3 0.500 0.000 0.359
Ga4 0.500 0.500 0.000
Hg1 0.000 0.000 0.500
Au1 0.000 0.500 0.870
Au2 0.500 0.000 0.130
Au3 0.500 0.500 0.500


(2)
A relaxed Dy3Er5Th crystal. Source: Alexandria, functional PBE-GGA.

## Properties
The value obtained for the uncorrected energy is -4.83 eV per atom. The formation energy comes out at 0.065 eV/atom. As for the space-group type: P6_3/mcm. Its density of states at the Fermi level is 15.46 states/eV/f.u. The calculated density comes out at 9279 kg/m3.

a b c (Å): 9.632 9.632 6.931
angles (deg): 90.00 90.00 120.00
Sites, in units of the cell vectors:
Dy1 0.000 0.335 0.250
Dy2 0.000 0.665 0.750
Dy3 0.335 0.000 0.250
Dy4 0.335 0.335 0.750
Dy5 0.665 0.000 0.750
Dy6 0.665 0.665 0.250
Er1 0.000 0.332 0.750
Er2 0.000 0.668 0.250
Er3 0.332 0.000 0.750
Er4 0.332 0.332 0.250
Er5 0.333 0.667 0.000
Er6 0.333 0.667 0.500
Er7 0.667 0.333 0.000
Er8 0.667 0.333 0.500
Er9 0.668 0.000 0.250
Er10 0.668 0.668 0.750
Th1 0.000 0.000 0.000
Th2 0.000 0.000 0.500


(3)
A relaxed P5Ir crystal. Source: Alexandria, functional PBE-GGA.

## Properties
The value obtained for the uncorrected energy is -5.59 eV per atom. The formation energy comes out at 0.396 eV/atom. As for the space-group type: Cmmm. As for the energy above the most stable polymorph in this dataset: 0.2086 eV per atom. Its density of states at the Fermi level is 4.33 states/eV/f.u. The calculated density comes out at 5309 kg/m3.

a b c (Å): 4.554 10.293 4.633
angles (deg): 90.00 90.00 90.00
Sites, in units of the cell vectors:
P1 0.000 0.000 0.000
P2 0.000 0.106 0.500
P3 0.000 0.393 0.000
P4 0.000 0.607 0.000
P5 0.000 0.894 0.500
P6 0.500 0.107 0.000
P7 0.500 0.394 0.500
P8 0.500 0.500 0.000
P9 0.500 0.606 0.500
P10 0.500 0.893 0.000
Ir1 0.000 0.500 0.500
Ir2 0.500 0.000 0.500


(4)
A relaxed BaNa3In8 crystal. Source: Alexandria, functional PBE-GGA.

## Properties
The value obtained for the uncorrected energy is -2.52 eV per atom. The formation energy comes out at -0.204 eV/atom. As for the space-group type: P3m1. Its density of states at the Fermi level is 4.26 states/eV/f.u. The calculated density comes out at 5311 kg/m3.

a b c (Å): 6.322 6.322 10.159
angles (deg): 90.00 90.00 120.00
Sites, in units of the cell vectors:
Ba1 0.000 0.000 0.000
Na1 0.000 0.000 0.380
Na2 0.667 0.333 0.499
Na3 0.667 0.333 0.852
In1 0.162 0.324 0.679
In2 0.162 0.838 0.679
In3 0.333 0.667 0.441
In4 0.333 0.667 0.930
In5 0.504 0.009 0.192
In6 0.504 0.496 0.192
In7 0.676 0.838 0.679
In8 0.991 0.496 0.192


(5)
A relaxed CaMgCd2Cu crystal. Source: Alexandria, functional PBE-GGA.

## Properties
The value obtained for the uncorrected energy is -1.95 eV per atom. The formation energy comes out at -0.048 eV/atom. As for the space-group type: P4/mmm. Its density of states at the Fermi level is 2.09 states/eV/f.u. The calculated density comes out at 4713 kg/m3.

a b c (Å): 5.032 5.032 4.909
angles (deg): 90.00 90.00 90.00
Sites, in units of the cell vectors:
Ca1 0.000 0.000 0.000
Mg1 0.500 0.500 0.000
Cd1 0.000 0.500 0.500
Cd2 0.500 0.000 0.500
Cu1 0.500 0.500 0.500


(6)
A relaxed Zr3Fe8W crystal. Source: Alexandria, functional PBE-GGA.

## Properties
The value obtained for the uncorrected energy is -9.02 eV per atom. The formation energy comes out at -0.165 eV/atom. As for the space-group type: R3m. Its density of states at the Fermi level is 13.34 states/eV/f.u. The calculated density comes out at 8971 kg/m3.

a b c (Å): 8.514 8.514 8.514
angles (deg): 33.49 33.49 33.49
Sites, in units of the cell vectors:
Zr1 0.000 0.000 0.000
Zr2 0.127 0.127 0.127
Zr3 0.623 0.623 0.623
Fe1 0.061 0.061 0.560
Fe2 0.061 0.560 0.061
Fe3 0.066 0.563 0.563
Fe4 0.312 0.312 0.312
Fe5 0.560 0.061 0.061
Fe6 0.563 0.066 0.563
Fe7 0.563 0.563 0.066
Fe8 0.813 0.813 0.813
W1 0.500 0.500 0.500


(7)
A relaxed Ce2SmEr3As6 crystal. Source: Alexandria, functional PBE-GGA.

## Properties
The value obtained for the uncorrected energy is -6.34 eV per atom. The formation energy comes out at -1.490 eV/atom. As for the space-group type: C2/m. Its density of states at the Fermi level is 11.46 states/eV/f.u. The calculated density comes out at 7574 kg/m3.

a b c (Å): 9.265 9.265 8.294
angles (deg): 102.76 102.76 25.91
Sites, in units of the cell vectors:
Ce1 0.166 0.166 0.332
Ce2 0.834 0.834 0.668
Sm1 0.500 0.500 0.000
Er1 0.166 0.166 0.834
Er2 0.500 0.500 0.500
Er3 0.834 0.834 0.166
As1 0.001 0.001 0.745
As2 0.331 0.331 0.920
As3 0.335 0.335 0.413
As4 0.665 0.665 0.587
As5 0.669 0.669 0.080
As6 0.999 0.999 0.255


(8)
A relaxed Tl2Pd2Au crystal. Source: Alexandria, functional PBE-GGA.

## Properties
The value obtained for the uncorrected energy is -3.71 eV per atom. The formation energy comes out at -0.034 eV/atom. As for the space-group type: R-3m. As for the energy above the most stable polymorph in this dataset: 0.0601 eV per atom. Its density of states at the Fermi level is 3.27 states/eV/f.u. The calculated density comes out at 13555 kg/m3.

a b c (Å): 4.734 4.734 15.503
angles (deg): 90.00 90.00 120.00
Sites, in units of the cell vectors:
Tl1 0.000 0.000 0.220
Tl2 0.000 0.000 0.780
Tl3 0.333 0.667 0.446
Tl4 0.333 0.667 0.887
Tl5 0.667 0.333 0.113
Tl6 0.667 0.333 0.554
Pd1 0.000 0.000 0.405
Pd2 0.000 0.000 0.595
Pd3 0.333 0.667 0.071
Pd4 0.333 0.667 0.262
Pd5 0.667 0.333 0.738
Pd6 0.667 0.333 0.929
Au1 0.000 0.000 0.000
Au2 0.333 0.667 0.667
Au3 0.667 0.333 0.333


What did the first record say?
A relaxed Th2Ga4HgAu3 crystal. Source: Alexandria, functional PBE-GGA.

## Properties
The value obtained for the uncorrected energy is -4.22 eV per atom. The formation energy comes out at -0.513 eV/atom. As for the space-group type: P-4m2. Its density of states at the Fermi level is 4.41 states/eV/f.u. The calculated density comes out at 12121 kg/m3.

a b c (Å): 4.403 4.403 10.843
angles (deg): 90.00 90.00 90.00
Sites, in units of the cell vectors:
Th1 0.000 0.500 0.247
Th2 0.500 0.000 0.753
Ga1 0.000 0.000 0.000
Ga2 0.000 0.500 0.641
Ga3 0.500 0.000 0.359
Ga4 0.500 0.500 0.000
Hg1 0.000 0.000 0.500
Au1 0.000 0.500 0.870
Au2 0.500 0.000 0.130
Au3 0.500 0.500 0.500


- What is the formula in the third record?
  P5Ir